Here is an optimized crystal structure of ScPS3 from Alexandria via LeMat-Bulk. Energies are from GGA-PBE.

Calculated values
The energy relative to the elements, uncorrected is 18 kJ per mole of atoms.

Lattice parameters (Å, degrees): 4.858 4.858 4.858 90.00 90.00 90.00
Fractional positions:
1 S 0.000 0.500 0.000
2 S 0.500 0.000 0.000
3 S 0.000 0.000 0.500
4 P 0.500 0.500 0.500
5 Sc 0.000 0.000 0.000

Here is an optimized crystal structure of La2TaZn from Alexandria via LeMat-Bulk. Energies are from GGA-PBE.

Calculated values
As for the energy relative to the elements: 196 meV/atom.

Lattice parameters (Å, degrees): 6.459 6.459 6.459 149.31 130.72 59.18
Fractional positions:
1 Ta 0.465 0.465 0.000
2 La 0.026 0.026 0.000
3 La 0.728 0.228 0.500
4 Zn 0.280 0.780 0.500

Here is an optimized crystal structure of Pm2Zn2AgPd5 from Alexandria via LeMat-Bulk. Energies are from GGA-PBE.

Calculated values
As for the energy relative to the elements: -588 meV/atom.

Lattice parameters (Å, degrees): 3.879 9.724 9.724 90.00 90.00 90.00
Fractional positions:
1 Pd 0.500 0.567 0.707
2 Pd 0.500 0.207 0.067
3 Pd 0.500 0.067 0.793
4 Pd 0.500 0.433 0.293
5 Pd 0.500 0.707 0.433
6 Pd 0.500 0.933 0.207
7 Pd 0.500 0.793 0.933
8 Pd 0.500 0.500 0.000
9 Pd 0.500 0.293 0.567
10 Pd 0.500 0.000 0.500
11 Pm 0.000 0.680 0.180
12 Pm 0.000 0.180 0.320
13 Pm 0.000 0.320 0.820
14 Pm 0.000 0.820 0.680
15 Zn 0.000 0.117 0.617
16 Zn 0.000 0.617 0.883
17 Zn 0.000 0.883 0.383
18 Zn 0.000 0.383 0.117
19 Ag 0.000 0.500 0.500
20 Ag 0.000 0.000 0.000

Here is an optimized crystal structure of Sm3ErTe from Alexandria via LeMat-Bulk. Energies are from GGA-PBE.

Calculated values
The energy relative to the elements, uncorrected is -35 kJ per mole of atoms.

Lattice parameters (Å, degrees): 5.878 6.747 9.307 84.35 90.00 115.82
Fractional positions:
1 Te 0.785 0.570 0.136
2 Te 0.215 0.430 0.864
3 Sm 0.859 0.719 0.457
4 Sm 0.370 0.739 0.131
5 Sm 0.057 0.115 0.155
6 Sm 0.943 0.885 0.845
7 Sm 0.141 0.281 0.543
8 Sm 0.630 0.261 0.869
9 Er 0.425 0.850 0.656
10 Er 0.575 0.150 0.344

Here is an optimized crystal structure of Rb2BH from Alexandria via LeMat-Bulk. Energies are from GGA-PBE.

Calculated values
The calculation puts the total energy at -1.915 eV/atom.

Lattice parameters (Å, degrees): 5.474 5.474 5.474 60.00 60.00 60.00
Fractional positions:
1 Rb 0.250 0.250 0.250
2 Rb 0.750 0.750 0.750
3 H 0.000 0.000 0.000
4 B 0.500 0.500 0.500

Here is an optimized crystal structure of CaY3Si from Alexandria via LeMat-Bulk. Energies are from GGA-PBE.

Calculated values
The energy relative to the elements, uncorrected is 116 kJ per mole of atoms.

Lattice parameters (Å, degrees): 5.407 5.407 5.407 90.00 90.00 90.00
Fractional positions:
1 Y 0.000 0.500 0.000
2 Y 0.000 0.000 0.500
3 Y 0.500 0.000 0.000
4 Si 0.500 0.500 0.500
5 Ca 0.000 0.000 0.000